(1)
Crystalline Th4AgC at its relaxed geometry, computed with GGA-PBE.

Its space-group type is C2/c. For the formation energy, the calculation gives -0.027 eV per atom. The value obtained for the density of states at the Fermi level is 1.13 states/eV per atom. As for the total magnetization: 0.0 μB per formula unit.

Unit cell a=8.3701 b=8.3701 c=6.2806 alpha=104.68 beta=104.68 gamma=119.43
With the nearest neighbours (Å) after each atom.
Sites, in units of the cell vectors:
Th1 0.0609 0.6595 0.8514  1 C 2.54
Th2 0.1653 0.2686 0.7061  2 C 2.51-2.60
Th3 0.2686 0.1653 0.2061  2 C 2.51-2.60
Th4 0.3405 0.9391 0.6486  1 C 2.54
Th5 0.6595 0.0609 0.3514  1 C 2.54
Th6 0.7314 0.8347 0.7939  2 C 2.51-2.60
Th7 0.8347 0.7314 0.2939  2 C 2.51-2.60
Th8 0.9391 0.3405 0.1486  1 C 2.54
Ag1 0.3859 0.6141 0.2500  6 Th 3.05-3.30
Ag2 0.6141 0.3859 0.7500  6 Th 3.05-3.30
C1 0.0643 0.9357 0.7500  6 Th 2.51-2.60
C2 0.9357 0.0643 0.2500  6 Th 2.51-2.60

(2)
Crystalline Sc2BeOs at its relaxed geometry, computed with GGA-PBE.

Its space-group type is P4mm. For the formation energy, the calculation gives -0.215 eV per atom. The value obtained for the density of states at the Fermi level is 0.70 states/eV per atom. As for the total magnetization: 0.0 μB per formula unit.

Unit cell a=3.1325 b=3.1325 c=7.0595 alpha=90.00 beta=90.00 gamma=90.00
With the nearest neighbours (Å) after each atom.
Sites, in units of the cell vectors:
Sc1 0.0000 0.0000 0.0000  1 Be 2.67, 4 Os 2.85
Sc2 0.5000 0.5000 0.3804  1 Os 2.57, 4 Be 2.80
Be1 0.0000 0.0000 0.6221  4 Os 2.38
Os1 0.5000 0.5000 0.7452  4 Be 2.38, 1 Sc 2.57

(3)
Crystalline Na3MgHg7 at its relaxed geometry, computed with GGA-PBE.

Its space-group type is Cmcm. For the formation energy, the calculation gives -0.181 eV per atom. The value obtained for the density of states at the Fermi level is 0.29 states/eV per atom. As for the total magnetization: 0.0 μB per formula unit.

Unit cell a=13.2787 b=13.2787 c=12.3417 alpha=90.00 beta=90.00 gamma=164.82
With the nearest neighbours (Å) after each atom.
Sites, in units of the cell vectors:
Na1 0.1444 0.8556 0.5914  8 Hg 3.22-3.28, 2 Na 3.51
Na2 0.1444 0.8556 0.9086  8 Hg 3.22-3.28, 2 Na 3.51
Na3 0.1591 0.8409 0.2500  9 Hg 3.15-3.32, 1 Mg 3.40, 2 Na 3.51
Na4 0.8409 0.1591 0.7500  9 Hg 3.15-3.32, 1 Mg 3.40, 2 Na 3.51
Na5 0.8556 0.1444 0.0914  8 Hg 3.22-3.28, 2 Na 3.51
Na6 0.8556 0.1444 0.4086  8 Hg 3.22-3.28, 2 Na 3.51
Mg1 0.0299 0.9701 0.2500  8 Hg 2.99-3.01
Mg2 0.9701 0.0299 0.7500  8 Hg 2.99-3.01
Hg1 0.2851 0.7149 0.2500  5 Na 3.22-3.32, 6 Hg 3.33-3.51
Hg2 0.2846 0.7154 0.5749  7 Hg 3.13-3.51, 4 Na 3.15-3.28
Hg3 0.2846 0.7154 0.9251  7 Hg 3.13-3.51, 4 Na 3.15-3.28
Hg4 0.4123 0.5877 0.5973  1 Hg 2.97, 2 Mg 2.99, 4 Na 3.19-3.28
Hg5 0.4123 0.5877 0.9027  1 Hg 2.97, 2 Mg 2.99, 4 Na 3.19-3.28
Hg6 0.4590 0.5410 0.1218  2 Hg 2.97-3.16, 2 Mg 3.01, 2 Na 3.26
Hg7 0.4590 0.5410 0.3782  2 Hg 2.97-3.16, 2 Mg 3.01, 2 Na 3.26
Hg8 0.5410 0.4590 0.6218  2 Hg 2.97-3.16, 2 Mg 3.01, 2 Na 3.26
Hg9 0.5410 0.4590 0.8782  2 Hg 2.97-3.16, 2 Mg 3.01, 2 Na 3.26
Hg10 0.5877 0.4123 0.0973  1 Hg 2.97, 2 Mg 2.99, 4 Na 3.19-3.28
Hg11 0.5877 0.4123 0.4027  1 Hg 2.97, 2 Mg 2.99, 4 Na 3.19-3.28
Hg12 0.7154 0.2846 0.0749  7 Hg 3.13-3.51, 4 Na 3.15-3.28
Hg13 0.7154 0.2846 0.4251  7 Hg 3.13-3.51, 4 Na 3.15-3.28
Hg14 0.7149 0.2851 0.7500  5 Na 3.22-3.32, 6 Hg 3.33-3.51

(4)
Crystalline ScCr2Cl at its relaxed geometry, computed with GGA-PBE.

Its space-group type is Cm. Its formation energy (no corrections) is 2.6 kcal/mol of atoms. The value obtained for the density of states at the Fermi level is 0.71 states/eV per atom. The energy above the most stable polymorph in this dataset comes out at 0.304 eV per atom. As for the total magnetization: 0.2 μB per formula unit.

Unit cell a=4.8430 b=4.8430 c=5.4014 alpha=109.44 beta=109.44 gamma=37.33
With the nearest neighbours (Å) after each atom.
Sites, in units of the cell vectors:
Sc1 0.0000 0.0000 0.0000  3 Cl 2.54-2.67
Cr1 0.1714 0.1714 0.6094  2 Cr 2.48
Cr2 0.4470 0.4470 0.4967  2 Cr 2.48, 2 Cl 2.72
Cl1 0.7516 0.7516 0.1083  3 Sc 2.54-2.67, 2 Cr 2.72

(5)
Crystalline Al2C at its relaxed geometry, computed with GGA-PBE.

Its space-group type is I4_1/amd. For the formation energy, the calculation gives 0.191 eV per atom. The value obtained for the density of states at the Fermi level is 0.05 states/eV per atom. As for the total magnetization: 0.0 μB per formula unit.

Unit cell a=5.2899 b=5.2899 c=5.2899 alpha=134.55 beta=134.55 gamma=66.23
With the nearest neighbours (Å) after each atom.
Sites, in units of the cell vectors:
Al1 0.1091 0.3591 0.7500  3 C 2.05-2.07
Al2 0.3591 0.1091 0.2500  3 C 2.05-2.07
Al3 0.6409 0.8909 0.7500  3 C 2.05-2.07
Al4 0.8909 0.6409 0.2500  3 C 2.05-2.07
C1 0.1250 0.8750 0.2500  6 Al 2.05-2.07
C2 0.8750 0.1250 0.7500  6 Al 2.05-2.07

(6)
Crystalline Sr2CuAs4Pd3 at its relaxed geometry, computed with GGA-PBE.

Its space-group type is P-4m2. For the formation energy, the calculation gives -0.713 eV per atom. The value obtained for the density of states at the Fermi level is 0.48 states/eV per atom. As for the total magnetization: 0.0 μB per formula unit.

Unit cell a=4.4459 b=4.4459 c=10.2447 alpha=90.00 beta=90.00 gamma=90.00
With the nearest neighbours (Å) after each atom.
Sites, in units of the cell vectors:
Sr1 0.0000 0.5000 0.2464  2 Cu 3.36, 6 Pd 3.36-3.41, 8 As 3.37-3.42
Sr2 0.5000 0.0000 0.7536  2 Cu 3.36, 6 Pd 3.36-3.41, 8 As 3.37-3.42
Cu1 0.5000 0.5000 0.0000  4 As 2.58
As1 0.0000 0.0000 0.5000  4 Pd 2.56
As2 0.0000 0.5000 0.8716  3 Pd 2.54-2.58, 2 Cu 2.58
As3 0.5000 0.0000 0.1284  3 Pd 2.54-2.58, 2 Cu 2.58
As4 0.5000 0.5000 0.5000  4 Pd 2.56
Pd1 0.0000 0.0000 0.0000  4 As 2.58
Pd2 0.0000 0.5000 0.6240  5 As 2.54-2.56
Pd3 0.5000 0.0000 0.3760  5 As 2.54-2.56

(7)
Crystalline La4TlCd2Pb at its relaxed geometry, computed with GGA-PBE.

Its space-group type is R-3m. For the formation energy, the calculation gives -0.436 eV per atom. The value obtained for the density of states at the Fermi level is 1.25 states/eV per atom. As for the total magnetization: 0.0 μB per formula unit.

Unit cell a=9.7247 b=9.7247 c=9.7247 alpha=33.49 beta=33.49 gamma=33.49
With the nearest neighbours (Å) after each atom.
Sites, in units of the cell vectors:
La1 0.1246 0.1246 0.1246  4 Cd 3.38-3.41, 1 Pb 3.43, 3 Tl 3.44
La2 0.3747 0.3747 0.3747  3 Pb 3.43, 1 Tl 3.45, 4 Cd 3.46-3.51
La3 0.6253 0.6253 0.6253  3 Pb 3.43, 1 Tl 3.45, 4 Cd 3.46-3.51
La4 0.8754 0.8754 0.8754  4 Cd 3.38-3.41, 1 Pb 3.43, 3 Tl 3.44
Tl1 0.5000 0.5000 0.5000  8 La 3.44-3.45
Cd1 0.2473 0.2473 0.2473  8 La 3.38-3.51
Cd2 0.7527 0.7527 0.7527  8 La 3.38-3.51
Pb1 0.0000 0.0000 0.0000  8 La 3.43

(8)
Crystalline SrTe2Au at its relaxed geometry, computed with GGA-PBE.

Its space-group type is R-3m. Its formation energy (no corrections) is -13.7 kcal/mol of atoms. The value obtained for the density of states at the Fermi level is 2.43 states/eV per atom. As for the total magnetization: 0.0 μB per formula unit.

Unit cell a=8.6047 b=8.6047 c=8.6047 alpha=35.23 beta=35.23 gamma=35.23
With the nearest neighbours (Å) after each atom.
Sites, in units of the cell vectors:
Sr1 0.0000 0.0000 0.0000  6 Te 3.35
Te1 0.3941 0.3941 0.3941  1 Au 2.56
Te2 0.6059 0.6059 0.6059  1 Au 2.56
Au1 0.5000 0.5000 0.5000  2 Te 2.56